# 1
{
  "formula": "TlCd2Hg",
  "functional": "GGA-PBEsol",
  "state": "optimized geometry",
  "lattice_angstrom": [[4.637, 0.000, 0.000], [0.000, 4.637, 0.000], [-2.318, -2.318, 4.362]],
  "species": ["Cd", "Cd", "Tl", "Hg"],
  "frac_coords": [[0.250, 0.750, 0.500], [0.750, 0.250, 0.500], [0.000, 0.000, 0.000], [0.500, 0.500, 0.000]],
  "rho_g_cm3": 11.15,
  "de_polymorph_mev_per_atom": 16.8,
  "n_ef_per_ev_fu": 1.35,
  "ef_ev_per_atom": 0.03,
  "spacegroup": "I4/mmm (139)"
}


# 2
{
  "formula": "TlCd2Hg",
  "functional": "GGA-PBEsol",
  "state": "optimized geometry",
  "lattice_angstrom": [[-2.720, -1.803, 0.496], [-0.307, -1.803, 2.748], [-5.286, 6.509, 5.663]],
  "species": ["Hg", "Tl", "Cd", "Cd"],
  "frac_coords": [[0.495, 0.495, 0.514], [0.250, 0.250, 0.249], [0.750, 0.750, 0.751], [0.005, 0.005, 0.986]],
  "rho_g_cm3": 11.15,
  "de_polymorph_mev_per_atom": 14.6,
  "n_ef_per_ev_fu": 1.18,
  "ef_ev_per_atom": 0.03,
  "spacegroup": "R3m (160)"
}


# 3
{
  "formula": "TlCdHg2",
  "functional": "GGA-PBEsol",
  "state": "optimized geometry",
  "lattice_angstrom": [[3.371, 0.000, 0.000], [1.686, 2.920, 0.000], [1.686, 0.973, 9.790]],
  "species": ["Hg", "Tl", "Cd", "Hg"],
  "frac_coords": [[0.745, 0.745, 0.764], [0.500, 0.500, 0.500], [0.000, 0.000, 0.000], [0.255, 0.255, 0.236]],
  "rho_g_cm3": 12.37,
  "de_polymorph_mev_per_atom": 14.7,
  "n_ef_per_ev_fu": 1.00,
  "ef_ev_per_atom": 0.00,
  "spacegroup": "R-3m (166)"
}


# 4
{
  "formula": "TlCd2Hg",
  "functional": "GGA-PBEsol",
  "state": "optimized geometry",
  "lattice_angstrom": [[-1.681, -2.383, 1.305], [-1.155, -2.057, -5.018], [5.850, -0.789, 2.071]],
  "species": ["Cd", "Tl", "Hg", "Cd"],
  "frac_coords": [[0.500, 0.500, 0.500], [0.000, 0.500, 0.000], [0.500, 0.000, 0.000], [0.000, 0.000, 0.500]],
  "rho_g_cm3": 11.01,
  "de_polymorph_mev_per_atom": 31.5,
  "n_ef_per_ev_fu": 1.30,
  "ef_ev_per_atom": 0.05,
  "spacegroup": "C2/m (12)"
}


# 5
{
  "formula": "TlCdHg2",
  "functional": "GGA-PBEsol",
  "state": "optimized geometry",
  "lattice_angstrom": [[5.156, 0.000, 0.000], [2.578, 4.465, 0.000], [2.578, 1.488, 4.210]],
  "species": ["Hg", "Cd", "Hg", "Tl"],
  "frac_coords": [[0.000, 0.000, 0.000], [0.500, 0.500, 0.500], [0.750, 0.750, 0.750], [0.250, 0.250, 0.250]],
  "rho_g_cm3": 12.30,
  "de_polymorph_mev_per_atom": 41.4,
  "n_ef_per_ev_fu": 0.96,
  "ef_ev_per_atom": 0.03,
  "spacegroup": "F-43m (216)"
}


# 6
{
  "formula": "Tl2CdHg",
  "functional": "GGA-PBEsol",
  "state": "optimized geometry",
  "lattice_angstrom": [[4.641, 0.000, 0.000], [0.000, 4.641, 0.000], [-2.320, -2.320, 4.680]],
  "species": ["Tl", "Hg", "Tl", "Cd"],
  "frac_coords": [[0.000, 0.000, 0.000], [0.250, 0.750, 0.500], [0.750, 0.250, 0.500], [0.500, 0.500, 0.000]],
  "rho_g_cm3": 11.89,
  "de_polymorph_mev_per_atom": 29.6,
  "n_ef_per_ev_fu": 2.16,
  "ef_ev_per_atom": 0.04,
  "spacegroup": "I-4m2 (119)"
}


# 7
{
  "formula": "TlCd2Hg",
  "functional": "GGA-PBEsol",
  "state": "optimized geometry",
  "lattice_angstrom": [[-1.405, -0.425, -5.874], [2.508, -4.992, -3.359], [-5.309, -3.425, -1.602]],
  "species": ["Tl", "Cd", "Cd", "Cd", "Hg", "Tl", "Hg", "Cd"],
  "frac_coords": [[0.750, 0.500, 0.500], [0.611, 0.014, 0.514], [0.875, 0.514, 0.986], [0.139, 0.986, 0.486], [0.250, 0.500, 0.500], [0.000, 0.000, 0.000], [0.500, 0.000, 0.000], [0.375, 0.486, 0.014]],
  "rho_g_cm3": 10.37,
  "de_polymorph_mev_per_atom": 63.3,
  "n_ef_per_ev_fu": 1.47,
  "ef_ev_per_atom": 0.08,
  "spacegroup": "I-42d (122)"
}


# 8
{
  "formula": "TlCdHg2",
  "functional": "GGA-PBEsol",
  "state": "optimized geometry",
  "lattice_angstrom": [[-1.604, 0.583, 3.822], [-3.038, -3.581, -0.728], [5.604, -1.665, 0.314]],
  "species": ["Tl", "Hg", "Hg", "Cd"],
  "frac_coords": [[0.502, 0.502, 0.004], [0.745, 0.245, 0.490], [0.997, 0.997, 0.993], [0.257, 0.757, 0.513]],
  "rho_g_cm3": 12.17,
  "de_polymorph_mev_per_atom": 19.3,
  "n_ef_per_ev_fu": 1.22,
  "ef_ev_per_atom": 0.01,
  "spacegroup": "Imm2 (44)"
}


# 9
{
  "formula": "Tl2CdHg",
  "functional": "GGA-PBEsol",
  "state": "optimized geometry",
  "lattice_angstrom": [[-1.133, 2.990, -0.853], [-3.232, 0.450, -0.546], [-2.866, 3.563, 9.873]],
  "species": ["Tl", "Hg", "Tl", "Cd"],
  "frac_coords": [[0.751, 0.751, 0.748], [0.000, 0.000, 0.000], [0.249, 0.249, 0.252], [0.500, 0.500, 0.500]],
  "rho_g_cm3": 11.80,
  "de_polymorph_mev_per_atom": 31.9,
  "n_ef_per_ev_fu": 1.79,
  "ef_ev_per_atom": 0.04,
  "spacegroup": "R-3m (166)"
}


# 10
{
  "formula": "TlCdHg2",
  "functional": "GGA-PBEsol",
  "state": "optimized geometry",
  "lattice_angstrom": [[3.792, 0.000, 0.000], [0.000, 5.039, 0.000], [0.000, 0.000, 5.072]],
  "species": ["Hg", "Hg", "Cd", "Tl"],
  "frac_coords": [[0.000, 0.000, 0.000], [0.500, 0.000, 0.500], [0.000, 0.500, 0.500], [0.500, 0.500, 0.000]],
  "rho_g_cm3": 12.30,
  "de_polymorph_mev_per_atom": 38.0,
  "n_ef_per_ev_fu": 1.21,
  "ef_ev_per_atom": 0.03,
  "spacegroup": "Pmmm (47)"
}


# 11
{
  "formula": "TlCdHg",
  "functional": "GGA-PBEsol",
  "state": "optimized geometry",
  "lattice_angstrom": [[3.340, 0.034, -0.004], [-0.019, 3.341, -0.004], [-1.669, -1.697, 6.547]],
  "species": ["Hg", "Cd", "Tl"],
  "frac_coords": [[0.343, 0.343, 0.687], [0.991, 0.991, 0.982], [0.666, 0.666, 0.332]],
  "rho_g_cm3": 11.77,
  "de_polymorph_mev_per_atom": 0.0,
  "n_ef_per_ev_fu": 1.09,
  "ef_ev_per_atom": 0.01,
  "spacegroup": "Cm (8)"
}


# 12
{
  "formula": "TlCd2Hg",
  "functional": "GGA-PBEsol",
  "state": "optimized geometry",
  "lattice_angstrom": [[3.209, 0.000, -0.120], [0.000, 4.842, 0.000], [-1.198, 0.000, 6.128]],
  "species": ["Cd", "Tl", "Hg", "Cd"],
  "frac_coords": [[0.558, 0.500, 0.222], [0.277, 0.500, 0.722], [0.695, 0.000, 0.511], [0.971, 0.000, 0.046]],
  "rho_g_cm3": 11.06,
  "de_polymorph_mev_per_atom": 21.3,
  "n_ef_per_ev_fu": 1.42,
  "ef_ev_per_atom": 0.04,
  "spacegroup": "Pm (6)"
}


# 13
{
  "formula": "TmCdHg2",
  "functional": "GGA-PBEsol",
  "state": "optimized geometry",
  "lattice_angstrom": [[-3.629, 3.348, -0.318], [-4.619, -1.230, 1.277], [-2.009, 1.869, 4.117]],
  "species": ["Hg", "Cd", "Hg", "Tm"],
  "frac_coords": [[0.750, 0.750, 0.750], [0.500, 0.500, 0.500], [0.250, 0.250, 0.250], [0.000, 0.000, 0.000]],
  "rho_g_cm3": 13.23,
  "n_ef_per_ev_fu": 1.26,
  "ef_ev_per_atom": -0.44,
  "spacegroup": "Fm-3m (225)"
}


# 14
{
  "formula": "Tm2CdHg",
  "functional": "GGA-PBEsol",
  "state": "optimized geometry",
  "lattice_angstrom": [[-1.469, 4.026, 2.792], [1.314, 0.307, 4.933], [3.451, 3.457, 1.517]],
  "species": ["Tm", "Tm", "Hg", "Cd"],
  "frac_coords": [[0.750, 0.750, 0.750], [0.250, 0.250, 0.250], [0.000, 0.000, 0.000], [0.500, 0.500, 0.500]],
  "rho_g_cm3": 11.42,
  "n_ef_per_ev_fu": 3.01,
  "ef_ev_per_atom": -0.46,
  "spacegroup": "Fm-3m (225)"
}


# 15
{
  "formula": "Cd2HgW",
  "functional": "GGA-PBEsol",
  "state": "optimized geometry",
  "lattice_angstrom": [[2.878, 0.000, 0.000], [0.000, 5.181, 0.000], [-1.439, -2.591, 5.102]],
  "species": ["Cd", "W", "Hg", "Cd"],
  "frac_coords": [[0.249, 0.749, 0.498], [0.751, 0.251, 0.502], [0.493, 0.493, 0.986], [0.007, 0.007, 0.014]],
  "rho_g_cm3": 13.30,
  "n_ef_per_ev_fu": 2.88,
  "ef_ev_per_atom": 0.62,
  "spacegroup": "Imm2 (44)"
}


# 16
{
  "formula": "CdHgW",
  "functional": "GGA-PBEsol",
  "state": "optimized geometry",
  "lattice_angstrom": [[2.810, 0.000, 0.000], [0.000, 4.736, 0.000], [0.000, -2.368, 4.102]],
  "species": ["W", "Hg", "Cd"],
  "frac_coords": [[0.334, 0.667, 0.333], [0.831, 0.333, 0.667], [0.835, 0.000, 0.000]],
  "rho_g_cm3": 15.12,
  "n_ef_per_ev_fu": 3.61,
  "ef_ev_per_atom": 0.86,
  "spacegroup": "P3m1 (156)"
}